(1)
Below is a relaxed structure of Sc4GaIr5, with properties calculated at the GGA-PBE level.

Cell and atoms, written as POSCAR:
```
Sc4GaIr5
1.0
-0.976 -1.690 2.553
2.567 1.008 1.649
-8.208 12.498 5.135
Ir Sc Ga
5 4 1
direct
0.500 0.500 0.909
0.500 0.500 0.091
0.500 0.500 0.500
0.500 0.500 0.705
0.500 0.500 0.295
0.000 0.000 0.397
0.000 0.000 0.808
0.000 0.000 0.192
0.000 0.000 0.603
0.000 0.000 0.000
```

- Total moment: 0.0 μB per cell
- Formation energy from the elements: -895 meV/atom
- Symmetry: P4/mmm (123)
- Crystal system: tetragonal

(2)
Below is a relaxed structure of Zr2VAg, with properties calculated at the GGA-PBE level.

Cell and atoms, written as POSCAR:
```
Zr2VAg
1.0
-0.349 -1.606 -2.438
2.297 -0.517 -1.761
2.856 -9.465 4.053
Zr Ag V
2 1 1
direct
0.916 0.916 0.252
0.084 0.084 0.748
0.500 0.500 0.500
0.000 0.000 0.000
```

- Distance to the lowest polymorph of the same formula: 0.440 eV/atom
- Total moment: 0.0 μB per cell
- Formation energy from the elements: 461 meV/atom
- Symmetry: R-3m (166)
- Crystal system: trigonal

(3)
Below is a relaxed structure of CaAlGaCl2, with properties calculated at the GGA-PBE level.

Cell and atoms, written as POSCAR:
```
CaAlGaCl2
1.0
-2.011 -1.522 -4.448
0.849 -6.568 1.863
-4.658 -0.004 2.108
Ca Cl Ga Al
1 2 1 1
direct
0.000 0.000 0.000
0.500 0.000 0.000
0.000 0.000 0.500
0.500 0.500 0.500
0.000 0.500 0.000
```

- Total moment: 0.6 μB per cell
- Symmetry: P4/mmm (123)
- Crystal system: tetragonal
- Formation energy from raw total energies: -572.2 meV per atom

(4)
Below is a relaxed structure of RbLiRuO3, with properties calculated at the GGA-PBE level.

Cell and atoms, written as POSCAR:
```
RbLiRuO3
1.0
-4.811 3.211 -0.098
-1.523 -2.432 -4.925
-1.767 -2.494 5.077
O Rb Ru Li
6 2 2 2
direct
0.750 0.730 0.460
0.500 0.266 0.000
0.250 0.270 0.540
0.000 0.734 0.000
0.500 0.734 0.000
0.000 0.266 0.000
0.750 0.227 0.454
0.250 0.773 0.546
0.750 0.550 0.101
0.250 0.450 0.899
0.750 0.928 0.855
0.250 0.072 0.145
```

- Total moment: 3.9 μB per cell
- Symmetry: Cmcm (63)
- Crystal system: orthorhombic
- Formation energy from raw total energies: -1221.9 meV per atom

(5)
Below is a relaxed structure of NbFe2B, with properties calculated at the GGA-PBE level.

Cell and atoms, written as POSCAR:
```
NbFe2B
1.0
6.319 0.000 0.000
0.000 6.319 0.000
3.160 3.160 2.349
B Fe Nb
2 4 2
direct
0.250 0.750 0.500
0.500 0.500 0.000
0.375 0.468 0.750
0.875 0.782 0.750
0.532 0.125 0.250
0.218 0.625 0.250
0.750 0.250 0.500
0.000 0.000 0.000
```

- Total moment: 0.5 μB per cell
- Formation energy from the elements: 93 meV/atom
- Symmetry: I-42d (122)
- Crystal system: tetragonal

(6)
Below is a relaxed structure of Li5CdPd6, with properties calculated at the GGA-PBE level.

Cell and atoms, written as POSCAR:
```
Li5CdPd6
1.0
4.132 0.031 -1.180
-0.859 5.502 -2.865
-0.038 0.281 7.395
Li Pd Cd
5 6 1
direct
0.328 0.328 0.656
0.672 0.672 0.344
0.341 0.841 0.682
0.000 0.500 0.000
0.659 0.159 0.318
0.500 0.727 0.000
0.827 0.092 0.656
0.500 0.273 0.000
0.173 0.436 0.344
0.173 0.908 0.344
0.827 0.564 0.656
0.000 0.000 0.000
```

- Distance to the lowest polymorph of the same formula: 0.000 eV/atom
- Total moment: 0.0 μB per cell
- Formation energy from the elements: -421 meV/atom
- Symmetry: C2/m (12)
- Crystal system: monoclinic

- Number 1 is which compound?
  Sc4GaIr5